! MnBeNO2 (GGA+U, relaxed); values from VASP
&SYSTEM
  ibrav = 0, nat = 5, ntyp = 4
/
ATOMIC_SPECIES
Be 9.01 Be.upf
Mn 54.94 Mn.upf
O 16.00 O.upf
N 14.01 N.upf
ATOMIC_POSITIONS crystal
Be 0.000 0.000 0.000
Mn 0.500 0.500 0.500
O 0.000 0.500 0.000
O 0.500 0.000 0.000
N 0.000 0.000 0.500
CELL_PARAMETERS angstrom
-2.963 0.291 -1.803
1.171 -2.334 -2.301
-1.468 -2.686 1.978
! Calculated total energy (Ry per atom): -0.4591